Material: Nb2GeOsAu
Method: DFT, GGA-PBE
State: optimized geometry

Computed properties:
DOS at the Fermi energy = 6.03 states/eV/cell
calculated formation energy = 1.8904 eV per atom
raw total energy = -29.8 eV/cell

The structure in CIF format:
```
data_Nb2GeOsAu
_space_group_name_H-M_alt 'P 1'
_space_group_IT_number 1
_cell_length_a 5.007
_cell_length_b 5.007
_cell_length_c 4.454
_cell_angle_alpha 90.00
_cell_angle_beta 90.00
_cell_angle_gamma 90.00
loop_
_space_group_symop_operation_xyz
'x,y,z'
loop_
_atom_site_label
_atom_site_type_symbol
_atom_site_fract_x
_atom_site_fract_y
_atom_site_fract_z
Nb1 Nb 0.000 0.500 0.000
Nb2 Nb 0.500 0.000 0.000
Ge1 Ge 0.000 0.000 0.500
Os1 Os 0.500 0.500 0.500
Au1 Au 0.000 0.000 0.000
```